# 1
# TbYIr2 GGA-PBE optimized geometry
data_TbYIr2
_space_group_name_H-M_alt 'P 1'
_space_group_IT_number 1
_cell_length_a 3.596
_cell_length_b 4.752
_cell_length_c 4.752
_cell_angle_alpha 90.00
_cell_angle_beta 90.00
_cell_angle_gamma 90.00
loop_
_space_group_symop_operation_xyz
'x,y,z'
loop_
_atom_site_label
_atom_site_fract_x
_atom_site_fract_y
_atom_site_fract_z
Tb1 0.500 0.500 0.500
Ir1 0.000 0.500 0.000
Ir2 0.000 0.000 0.500
Y1 0.500 0.000 0.000
# Space group = P4/mmm
# Crystal system = tetragonal
# Excess energy over the best structure of this formula in the dataset = 0.0 meV per atom


# 2
# CrFeMo3 GGA-PBE optimized geometry
data_CrFeMo3
_space_group_name_H-M_alt 'P 1'
_space_group_IT_number 1
_cell_length_a 4.399
_cell_length_b 4.399
_cell_length_c 4.399
_cell_angle_alpha 90.00
_cell_angle_beta 90.00
_cell_angle_gamma 90.00
loop_
_space_group_symop_operation_xyz
'x,y,z'
loop_
_atom_site_label
_atom_site_fract_x
_atom_site_fract_y
_atom_site_fract_z
Mo1 0.000 0.500 0.000
Mo2 0.000 0.000 0.500
Mo3 0.500 0.000 0.000
Cr1 0.500 0.500 0.500
Fe1 0.000 0.000 0.000
# Space group = Pm-3m
# Crystal system = cubic
# Excess energy over the best structure of this formula in the dataset = 0.0 meV per atom


# 3
# PuAgHgAu GGA-PBE optimized geometry
data_PuAgHgAu
_space_group_name_H-M_alt 'P 1'
_space_group_IT_number 1
_cell_length_a 5.046
_cell_length_b 5.046
_cell_length_c 5.046
_cell_angle_alpha 60.00
_cell_angle_beta 60.00
_cell_angle_gamma 60.00
loop_
_space_group_symop_operation_xyz
'x,y,z'
loop_
_atom_site_label
_atom_site_fract_x
_atom_site_fract_y
_atom_site_fract_z
Ag1 0.500 0.500 0.500
Hg1 0.750 0.750 0.750
Au1 0.250 0.250 0.250
Pu1 0.000 0.000 0.000
# Space group = F-43m
# Crystal system = cubic


# 4
# LuInCu GGA-PBE optimized geometry
data_LuInCu
_space_group_name_H-M_alt 'P 1'
_space_group_IT_number 1
_cell_length_a 3.417
_cell_length_b 4.605
_cell_length_c 4.605
_cell_angle_alpha 120.00
_cell_angle_beta 90.00
_cell_angle_gamma 90.00
loop_
_space_group_symop_operation_xyz
'x,y,z'
loop_
_atom_site_label
_atom_site_fract_x
_atom_site_fract_y
_atom_site_fract_z
Cu1 0.166 0.000 0.000
Lu1 0.667 0.667 0.333
In1 0.167 0.333 0.667
# Space group = P-6m2
# Crystal system = hexagonal


The evaluated electronic total energy for the records listed, in turn: -7.988 -8.712 -5.357 -4.108 eV/atom.
The evaluated formation energy from the elements for the records listed, in turn: -3.1 7.0 -0.7 -1.0 eV per formula unit.